Compound: La6Cd2FeCo
Source: the Alexandria database
Functional: GGA-PBE
Structure: optimized geometry

## Properties
- Energy: -48.3 eV/cell
- DFT formation energy: -137.8 meV per atom

a b c (Å): 7.521 7.521 7.529
angles (deg): 119.80 119.80 90.15
Atoms (fractional coordinates):
1 La 0.000 0.000 0.000
2 La 0.000 0.497 0.498
3 La 0.001 0.001 0.498
4 La 0.496 0.496 0.499
5 La 0.497 0.000 0.498
6 La 0.498 0.498 0.996
7 Cd 0.000 0.500 0.998
8 Cd 0.500 0.000 0.998
9 Fe 0.263 0.263 0.499
10 Co 0.747 0.747 0.498